Record 1
A relaxed Pm3Nd4TmS8 crystal. Source: the Alexandria database, functional PBE.

Computed properties:
The space group is R-3m (166). The calculation puts the total energy at -102.990 eV per formula unit. The uncorrected formation energy is -2.011 eV per atom. The calculation puts the theoretical density at 6.446 Mg/m³.

Unit cell a=8.0503 b=8.0703 c=8.0504 alpha=119.92 beta=120.00 gamma=90.00
Fractional positions:
S 0.7584 0.2606 0.5168
S 0.2416 0.7394 0.4832
S 0.7562 0.7394 0.9978
S 0.7488 0.7465 0.4977
S 0.7584 0.2606 0.0022
S 0.2416 0.7394 0.9978
S 0.2438 0.2606 0.0022
S 0.2512 0.2535 0.5023
Nd 0.0000 0.0000 0.5000
Nd 0.0000 0.0000 0.0000
Nd 0.5000 0.0000 0.0000
Nd 0.5000 0.0000 0.5000
Pm 0.0000 0.5000 0.5000
Pm 0.5000 0.5000 0.0000
Pm 0.5000 0.5000 0.5000
Tm 0.0000 0.5000 0.0000

Record 2
A relaxed Pm3Nd2TmS6 crystal. Source: the Alexandria database, functional PBE.

Computed properties:
The space group is C2/m (12). The calculation puts the total energy at -77.200 eV per formula unit. The uncorrected formation energy is -2.015 eV per atom. The calculation puts the theoretical density at 6.563 Mg/m³.

Unit cell a=6.9631 b=6.9631 c=6.9449 alpha=99.60 beta=99.60 gamma=120.14
Fractional positions:
S 0.2376 0.2376 0.7515
S 0.4019 0.0812 0.2441
S 0.0812 0.4019 0.2441
S 0.9188 0.5981 0.7559
S 0.5981 0.9188 0.7559
S 0.7624 0.7624 0.2485
Pm 0.1723 0.8277 0.5000
Pm 0.8277 0.1723 0.5000
Pm 0.5000 0.5000 0.5000
Tm 0.0000 0.0000 0.0000
Nd 0.6672 0.3328 0.0000
Nd 0.3328 0.6672 0.0000

Record 3
A relaxed PmNd3Tm2S6 crystal. Source: the Alexandria database, functional PBE.

Computed properties:
The space group is C2/m (12). The calculation puts the total energy at -76.778 eV per formula unit. The uncorrected formation energy is -2.001 eV per atom. The calculation puts the theoretical density at 6.830 Mg/m³.

Unit cell a=6.8763 b=6.8763 c=6.9751 alpha=99.45 beta=99.45 gamma=120.13
Fractional positions:
S 0.5771 0.9217 0.7645
S 0.9217 0.5771 0.7645
S 0.0783 0.4229 0.2355
S 0.4229 0.0783 0.2355
S 0.7326 0.7326 0.2312
S 0.2674 0.2674 0.7688
Nd 0.1615 0.8385 0.5000
Nd 0.5000 0.5000 0.5000
Nd 0.8385 0.1615 0.5000
Pm 0.0000 0.0000 0.0000
Tm 0.6662 0.3338 0.0000
Tm 0.3338 0.6662 0.0000

Record 4
A relaxed PmNdTm4S8 crystal. Source: the Alexandria database, functional PBE.

Computed properties:
The space group is R3m (160). The calculation puts the total energy at -87.191 eV per formula unit. The uncorrected formation energy is -1.912 eV per atom. The calculation puts the theoretical density at 5.485 Mg/m³.

Unit cell a=8.0159 b=8.0159 c=8.0979 alpha=60.33 beta=60.33 gamma=60.00
Fractional positions:
Nd 0.3733 0.3733 0.8802
S 0.7579 0.7579 0.7262
S 0.2459 0.7819 0.7263
S 0.2459 0.2459 0.7263
S 0.2334 0.7492 0.2683
S 0.2366 0.2366 0.2903
S 0.7492 0.2334 0.2683
S 0.7492 0.7492 0.2683
S 0.7819 0.2459 0.7263
Pm 0.9995 0.9995 0.0016
Tm 0.9996 0.9996 0.4986
Tm 0.5022 0.9996 0.4986
Tm 0.6259 0.6259 0.1222
Tm 0.9996 0.5022 0.4986

no.,N(E_F) (states/eV/cell)
1,8.14
2,4.91
3,5.06
4,7.76